Version w
# Pm2PuCd | the Alexandria database | PBE | optimized geometry
# D(E_F), states/eV/atom: 2.408
# Crystal system: tetragonal
# Total magnetization, μB/f.u.: 6.263
data_Pm2PuCd
_chemical_formula_sum 'Pm2 Pu1 Cd1'
_symmetry_space_group_name_H-M 'P 4/m m m'
_symmetry_Int_Tables_number 123
_symmetry_space_group_name_Hall '-P 4 2'
_cell_length_a 3.5901
_cell_length_b 3.5901
_cell_length_c 9.1347
_cell_angle_alpha 90.00
_cell_angle_beta 90.00
_cell_angle_gamma 90.00
loop_
_atom_site_label
_atom_site_type_symbol
_atom_site_fract_x
_atom_site_fract_y
_atom_site_fract_z
_atom_site_occupancy
Pm1 Pm 0.0000 0.0000 0.2355 1
Pu1 Pu 0.5000 0.5000 0.5000 1
Cd1 Cd 0.5000 0.5000 0.0000 1

Version x
# Pm2PuCd | the Alexandria database | PBE | optimized geometry
# D(E_F), states/eV/atom: 2.978
# Crystal system: trigonal
# Total magnetization, μB/f.u.: 6.427
data_Pm2PuCd
_chemical_formula_sum 'Pm6 Pu3 Cd3'
_symmetry_space_group_name_H-M 'R -3 m'
_symmetry_Int_Tables_number 166
_symmetry_space_group_name_Hall '-R 3 2"'
_cell_length_a 3.4287
_cell_length_b 3.4287
_cell_length_c 36.0608
_cell_angle_alpha 90.00
_cell_angle_beta 90.00
_cell_angle_gamma 120.00
loop_
_atom_site_label
_atom_site_type_symbol
_atom_site_fract_x
_atom_site_fract_y
_atom_site_fract_z
_atom_site_occupancy
Pm1 Pm 0.0000 0.0000 0.0922 1
Pu1 Pu 0.0000 0.0000 0.0000 1
Cd1 Cd 0.0000 0.0000 0.5000 1

Preferred: version w; penalty for the next structure: 269 meV per atom.

Version w
# PmPuCd2 | the Alexandria database | PBE | optimized geometry
# D(E_F), states/eV/atom: 2.120
# Crystal system: tetragonal
# Total magnetization, μB/f.u.: 5.847
data_PmPuCd2
_chemical_formula_sum 'Pm1 Pu1 Cd2'
_symmetry_space_group_name_H-M 'P 4/m m m'
_symmetry_Int_Tables_number 123
_symmetry_space_group_name_Hall '-P 4 2'
_cell_length_a 3.2767
_cell_length_b 3.2767
_cell_length_c 9.7079
_cell_angle_alpha 90.00
_cell_angle_beta 90.00
_cell_angle_gamma 90.00
loop_
_atom_site_label
_atom_site_type_symbol
_atom_site_fract_x
_atom_site_fract_y
_atom_site_fract_z
_atom_site_occupancy
Pm1 Pm 0.0000 0.0000 0.0000 1
Pu1 Pu 0.0000 0.0000 0.5000 1
Cd1 Cd 0.5000 0.5000 0.2503 1

Version x
# PmPuCd2 | the Alexandria database | PBE | optimized geometry
# D(E_F), states/eV/atom: 2.356
# Crystal system: tetragonal
# Total magnetization, μB/f.u.: 6.379
data_PmPuCd2
_chemical_formula_sum 'Pm1 Pu1 Cd2'
_symmetry_space_group_name_H-M 'P 4/m m m'
_symmetry_Int_Tables_number 123
_symmetry_space_group_name_Hall '-P 4 2'
_cell_length_a 5.3428
_cell_length_b 5.3428
_cell_length_c 3.8679
_cell_angle_alpha 90.00
_cell_angle_beta 90.00
_cell_angle_gamma 90.00
loop_
_atom_site_label
_atom_site_type_symbol
_atom_site_fract_x
_atom_site_fract_y
_atom_site_fract_z
_atom_site_occupancy
Pm1 Pm 0.0000 0.0000 0.0000 1
Pu1 Pu 0.5000 0.5000 0.0000 1
Cd1 Cd 0.0000 0.5000 0.5000 1

Version y
# PmPuCd2 | the Alexandria database | PBE | optimized geometry
# D(E_F), states/eV/atom: 2.623
# Crystal system: cubic
# Total magnetization, μB/f.u.: 6.348
data_PmPuCd2
_chemical_formula_sum 'Pm4 Pu4 Cd8'
_symmetry_space_group_name_H-M 'F m -3 m'
_symmetry_Int_Tables_number 225
_symmetry_space_group_name_Hall '-F 4 2 3'
_cell_length_a 7.6196
_cell_length_b 7.6196
_cell_length_c 7.6196
_cell_angle_alpha 90.00
_cell_angle_beta 90.00
_cell_angle_gamma 90.00
loop_
_atom_site_label
_atom_site_type_symbol
_atom_site_fract_x
_atom_site_fract_y
_atom_site_fract_z
_atom_site_occupancy
Pm1 Pm 0.0000 0.0000 0.0000 1
Pu1 Pu 0.0000 0.0000 0.5000 1
Cd1 Cd 0.2500 0.2500 0.2500 1

Preferred: version x; penalty for the next structure: 6 meV per atom.

Version w
# Pm4CdRh | the Alexandria database | PBE | optimized geometry
# D(E_F), states/eV/atom: 0.670
# Crystal system: cubic
# Total magnetization, μB/f.u.: 0.000
data_Pm4CdRh
_chemical_formula_sum 'Pm64 Cd16 Rh16'
_symmetry_space_group_name_H-M 'F -4 3 m'
_symmetry_Int_Tables_number 216
_symmetry_space_group_name_Hall 'F -4 2 3'
_cell_length_a 13.9510
_cell_length_b 13.9510
_cell_length_c 13.9510
_cell_angle_alpha 90.00
_cell_angle_beta 90.00
_cell_angle_gamma 90.00
loop_
_atom_site_label
_atom_site_type_symbol
_atom_site_fract_x
_atom_site_fract_y
_atom_site_fract_z
_atom_site_occupancy
Pm1 Pm 0.0000 0.0000 0.1871 1
Pm2 Pm 0.0601 0.2500 0.7500 1
Pm3 Pm 0.0993 0.0993 0.4007 1
Cd1 Cd 0.1697 0.1697 0.1697 1
Rh1 Rh 0.1078 0.1078 0.6078 1

Version x
# Pm4CdRh | the Alexandria database | PBE | optimized geometry
# D(E_F), states/eV/atom: 1.221
# Crystal system: monoclinic
# Total magnetization, μB/f.u.: 0.000
data_Pm4CdRh
_chemical_formula_sum 'Pm16 Cd4 Rh4'
_symmetry_space_group_name_H-M 'C 1 2/c 1'
_symmetry_Int_Tables_number 15
_cell_length_a 8.9275
_cell_length_b 13.8879
_cell_length_c 6.1168
_cell_angle_alpha 90.00
_cell_angle_beta 113.20
_cell_angle_gamma 90.00
loop_
_symmetry_equiv_pos_as_xyz
'x,y,z'
'-x,-y,-z'
'-x,y,-z+1/2'
'x,-y,z+1/2'
'x+1/2,y+1/2,z'
'-x+1/2,-y+1/2,-z'
'-x+1/2,y+1/2,-z+1/2'
'x+1/2,-y+1/2,z+1/2'
loop_
_atom_site_label
_atom_site_type_symbol
_atom_site_fract_x
_atom_site_fract_y
_atom_site_fract_z
_atom_site_occupancy
Pm1 Pm 0.1120 0.1826 0.0700 1
Pm2 Pm 0.2233 0.4269 0.3505 1
Cd1 Cd 0.0000 0.3797 0.7500 1
Rh1 Rh 0.0000 0.0009 0.2500 1

Preferred: version w; penalty for the next structure: 109 meV per atom.

Version w
# PmCd3Rh | the Alexandria database | PBE | optimized geometry
# D(E_F), states/eV/atom: 0.627
# Crystal system: orthorhombic
# Total magnetization, μB/f.u.: 0.000
data_PmCd3Rh
_chemical_formula_sum 'Pm2 Cd6 Rh2'
_symmetry_space_group_name_H-M 'A m m 2'
_symmetry_Int_Tables_number 38
_cell_length_a 4.6887
_cell_length_b 4.7690
_cell_length_c 10.7354
_cell_angle_alpha 90.00
_cell_angle_beta 90.00
_cell_angle_gamma 90.00
loop_
_symmetry_equiv_pos_as_xyz
'x,y,z'
'-x,-y,z'
'-x,y,z'
'x,-y,z'
'x,y+1/2,z+1/2'
'-x,-y+1/2,z+1/2'
'-x,y+1/2,z+1/2'
'x,-y+1/2,z+1/2'
loop_
_atom_site_label
_atom_site_type_symbol
_atom_site_fract_x
_atom_site_fract_y
_atom_site_fract_z
_atom_site_occupancy
Pm1 Pm 0.0000 0.0000 0.0000 1
Cd1 Cd 0.0000 0.0000 0.7046 1
Cd2 Cd 0.5000 0.0000 0.2190 1
Cd3 Cd 0.5000 0.0000 0.5056 1
Rh1 Rh 0.0000 0.0000 0.3579 1

Version x
# PmCd3Rh | the Alexandria database | PBE | optimized geometry
# D(E_F), states/eV/atom: 0.393
# Crystal system: monoclinic
# Total magnetization, μB/f.u.: 0.000
data_PmCd3Rh
_chemical_formula_sum 'Pm2 Cd6 Rh2'
_symmetry_space_group_name_H-M 'P 1 21/m 1'
_symmetry_Int_Tables_number 11
_cell_length_a 5.4380
_cell_length_b 5.8300
_cell_length_c 7.0435
_cell_angle_alpha 90.00
_cell_angle_beta 91.93
_cell_angle_gamma 90.00
loop_
_symmetry_equiv_pos_as_xyz
'x,y,z'
'-x,-y,-z'
'-x,y+1/2,-z'
'x,-y+1/2,z'
loop_
_atom_site_label
_atom_site_type_symbol
_atom_site_fract_x
_atom_site_fract_y
_atom_site_fract_z
_atom_site_occupancy
Pm1 Pm 0.1451 0.2500 0.3905 1
Cd1 Cd 0.0984 0.7500 0.1083 1
Cd2 Cd 0.3733 0.0031 0.8052 1
Rh1 Rh 0.3401 0.7500 0.4652 1

Preferred: version x; penalty for the next structure: 111 meV per atom.

Version w
# Pm3Cd2Rh | the Alexandria database | PBE | optimized geometry
# D(E_F), states/eV/atom: 0.671
# Crystal system: orthorhombic
# Total magnetization, μB/f.u.: 0.000
data_Pm3Cd2Rh
_chemical_formula_sum 'Pm12 Cd8 Rh4'
_symmetry_space_group_name_H-M 'C m m m'
_symmetry_Int_Tables_number 65
_symmetry_space_group_name_Hall '-C 2 2'
_cell_length_a 5.1917
_cell_length_b 15.6592
_cell_length_c 7.6361
_cell_angle_alpha 90.00
_cell_angle_beta 90.00
_cell_angle_gamma 90.00
loop_
_atom_site_label
_atom_site_type_symbol
_atom_site_fract_x
_atom_site_fract_y
_atom_site_fract_z
_atom_site_occupancy
Pm1 Pm 0.0000 0.0000 0.2361 1
Pm2 Pm 0.0000 0.3253 0.2230 1
Cd1 Cd 0.0000 0.1654 0.5000 1
Cd2 Cd 0.0000 0.5000 0.0000 1
Cd3 Cd 0.0000 0.5000 0.5000 1
Rh1 Rh 0.0000 0.1507 0.0000 1

Version x
# Pm3Cd2Rh | the Alexandria database | PBE | optimized geometry
# D(E_F), states/eV/atom: 0.859
# Crystal system: orthorhombic
# Total magnetization, μB/f.u.: 0.001
data_Pm3Cd2Rh
_chemical_formula_sum 'Pm12 Cd8 Rh4'
_symmetry_space_group_name_H-M 'C m c m'
_symmetry_Int_Tables_number 63
_symmetry_space_group_name_Hall '-C 2c 2'
_cell_length_a 16.9354
_cell_length_b 5.4213
_cell_length_c 7.1459
_cell_angle_alpha 90.00
_cell_angle_beta 90.00
_cell_angle_gamma 90.00
loop_
_atom_site_label
_atom_site_type_symbol
_atom_site_fract_x
_atom_site_fract_y
_atom_site_fract_z
_atom_site_occupancy
Pm1 Pm 0.0000 0.0020 0.2500 1
Pm2 Pm 0.1346 0.5000 0.0000 1
Cd1 Cd 0.1979 0.0002 0.2500 1
Rh1 Rh 0.0000 0.4979 0.7500 1

Preferred: version w; penalty for the next structure: 48 meV per atom.

Version w
# PmCdRu | the Alexandria database | PBE | optimized geometry
# D(E_F), states/eV/atom: 0.865
# Crystal system: orthorhombic
# Total magnetization, μB/f.u.: 0.000
data_PmCdRu
_chemical_formula_sum 'Pm4 Cd4 Ru4'
_symmetry_space_group_name_H-M 'C m c m'
_symmetry_Int_Tables_number 63
_symmetry_space_group_name_Hall '-C 2c 2'
_cell_length_a 4.1279
_cell_length_b 17.0059
_cell_length_c 4.1278
_cell_angle_alpha 90.00
_cell_angle_beta 90.00
_cell_angle_gamma 90.00
loop_
_atom_site_label
_atom_site_type_symbol
_atom_site_fract_x
_atom_site_fract_y
_atom_site_fract_z
_atom_site_occupancy
Pm1 Pm 0.0000 0.0971 0.2500 1
Cd1 Cd 0.0000 0.2959 0.2500 1
Ru1 Ru 0.0000 0.4640 0.2500 1

Version x
# PmCdRu | the Alexandria database | PBE | optimized geometry
# D(E_F), states/eV/atom: 0.914
# Crystal system: tetragonal
# Total magnetization, μB/f.u.: 0.000
data_PmCdRu
_chemical_formula_sum 'Pm4 Cd4 Ru4'
_symmetry_space_group_name_H-M 'I 4/m m m'
_symmetry_Int_Tables_number 139
_symmetry_space_group_name_Hall '-I 4 2'
_cell_length_a 3.1988
_cell_length_b 3.1988
_cell_length_c 27.3483
_cell_angle_alpha 90.00
_cell_angle_beta 90.00
_cell_angle_gamma 90.00
loop_
_atom_site_label
_atom_site_type_symbol
_atom_site_fract_x
_atom_site_fract_y
_atom_site_fract_z
_atom_site_occupancy
Pm1 Pm 0.0000 0.0000 0.1495 1
Cd1 Cd 0.0000 0.0000 0.4470 1
Ru1 Ru 0.0000 0.0000 0.2738 1

Preferred: version w; penalty for the next structure: 255 meV per atom.

Version w
# Pm2CdRu | the Alexandria database | PBE | optimized geometry
# D(E_F), states/eV/atom: 0.936
# Crystal system: cubic
# Total magnetization, μB/f.u.: 0.000
data_Pm2CdRu
_chemical_formula_sum 'Pm8 Cd4 Ru4'
_symmetry_space_group_name_H-M 'F m -3 m'
_symmetry_Int_Tables_number 225
_symmetry_space_group_name_Hall '-F 4 2 3'
_cell_length_a 7.3000
_cell_length_b 7.3000
_cell_length_c 7.3000
_cell_angle_alpha 90.00
_cell_angle_beta 90.00
_cell_angle_gamma 90.00
loop_
_atom_site_label
_atom_site_type_symbol
_atom_site_fract_x
_atom_site_fract_y
_atom_site_fract_z
_atom_site_occupancy
Pm1 Pm 0.2500 0.2500 0.2500 1
Cd1 Cd 0.0000 0.0000 0.0000 1
Ru1 Ru 0.0000 0.0000 0.5000 1

Version x
# Pm2CdRu | the Alexandria database | PBE | optimized geometry
# D(E_F), states/eV/atom: 1.019
# Crystal system: tetragonal
# Total magnetization, μB/f.u.: 0.000
data_Pm2CdRu
_chemical_formula_sum 'Pm2 Cd1 Ru1'
_symmetry_space_group_name_H-M 'P 4/m m m'
_symmetry_Int_Tables_number 123
_symmetry_space_group_name_Hall '-P 4 2'
_cell_length_a 3.5474
_cell_length_b 3.5474
_cell_length_c 7.8958
_cell_angle_alpha 90.00
_cell_angle_beta 90.00
_cell_angle_gamma 90.00
loop_
_atom_site_label
_atom_site_type_symbol
_atom_site_fract_x
_atom_site_fract_y
_atom_site_fract_z
_atom_site_occupancy
Pm1 Pm 0.0000 0.0000 0.2158 1
Cd1 Cd 0.5000 0.5000 0.5000 1
Ru1 Ru 0.5000 0.5000 0.0000 1

Preferred: version x; penalty for the next structure: 85 meV per atom.

Version w
# Pm2CdRu2 | the Alexandria database | PBE | optimized geometry
# D(E_F), states/eV/atom: 1.022
# Crystal system: orthorhombic
# Total magnetization, μB/f.u.: 0.000
data_Pm2CdRu2
_chemical_formula_sum 'Pm4 Cd2 Ru4'
_symmetry_space_group_name_H-M 'C m m m'
_symmetry_Int_Tables_number 65
_symmetry_space_group_name_Hall '-C 2 2'
_cell_length_a 4.1612
_cell_length_b 13.9448
_cell_length_c 4.1958
_cell_angle_alpha 90.00
_cell_angle_beta 90.00
_cell_angle_gamma 90.00
loop_
_atom_site_label
_atom_site_type_symbol
_atom_site_fract_x
_atom_site_fract_y
_atom_site_fract_z
_atom_site_occupancy
Pm1 Pm 0.0000 0.1363 0.0000 1
Cd1 Cd 0.0000 0.5000 0.5000 1
Ru1 Ru 0.0000 0.2934 0.5000 1

Version x
# Pm2CdRu2 | the Alexandria database | PBE | optimized geometry
# D(E_F), states/eV/atom: 1.141
# Crystal system: monoclinic
# Total magnetization, μB/f.u.: 0.001
data_Pm2CdRu2
_chemical_formula_sum 'Pm8 Cd4 Ru8'
_symmetry_space_group_name_H-M 'C 1 2/c 1'
_symmetry_Int_Tables_number 15
_cell_length_a 10.0914
_cell_length_b 5.5602
_cell_length_c 8.4374
_cell_angle_alpha 90.00
_cell_angle_beta 106.98
_cell_angle_gamma 90.00
loop_
_symmetry_equiv_pos_as_xyz
'x,y,z'
'-x,-y,-z'
'-x,y,-z+1/2'
'x,-y,z+1/2'
'x+1/2,y+1/2,z'
'-x+1/2,-y+1/2,-z'
'-x+1/2,y+1/2,-z+1/2'
'x+1/2,-y+1/2,z+1/2'
loop_
_atom_site_label
_atom_site_type_symbol
_atom_site_fract_x
_atom_site_fract_y
_atom_site_fract_z
_atom_site_occupancy
Pm1 Pm 0.1458 0.1611 0.1465 1
Cd1 Cd 0.0000 0.3437 0.7500 1
Ru1 Ru 0.1427 0.3423 0.5093 1

Preferred: version w; penalty for the next structure: 17 meV per atom.